Entry from Alexandria: a relaxed structure of V3HgO9 (PBE+U).

```
data_V3HgO9
_chemical_formula_sum 'V12 Hg4 O36'
_symmetry_space_group_name_H-M 'C 2 2 21'
_symmetry_Int_Tables_number 20
_cell_length_a 9.8861
_cell_length_b 11.0378
_cell_length_c 7.9212
_cell_angle_alpha 90.00
_cell_angle_beta 90.00
_cell_angle_gamma 90.00
loop_
_symmetry_equiv_pos_as_xyz
'x,y,z'
'-x,-y,z+1/2'
'x,-y,-z'
'-x,y,-z+1/2'
'x+1/2,y+1/2,z'
'-x+1/2,-y+1/2,z+1/2'
'x+1/2,-y+1/2,-z'
'-x+1/2,y+1/2,-z+1/2'
loop_
_atom_site_label
_atom_site_fract_x
_atom_site_fract_y
_atom_site_fract_z
V1 0.0227 0.2135 0.0275
V2 0.2150 0.0000 0.5000
Hg1 0.1779 0.5000 0.5000
O1 0.0000 0.1960 0.2500
O2 0.0025 0.3609 0.5275
O3 0.1053 0.1213 0.5676
O4 0.1782 0.1636 0.9712
O5 0.1920 0.4655 0.8277
```

Summary:
* DOS at the Fermi energy: 5.71 states/eV per cell
* DFT total energy: -6.544 eV per atom